PBE+U FeCoGe2O6, relaxed; final energy = -6.4778 eV per atom; size of the total moment = 14.0 Bohr magnetons per cell
1.0
5.223 -0.290 -0.300
1.316 6.604 0.197
1.316 -0.048 6.606
Fe Ge O Co
2 4 12 2
direct
0.750 0.091 0.909
0.250 0.909 0.091
0.283 0.395 0.208
0.717 0.605 0.792
0.783 0.208 0.395
0.217 0.792 0.605
0.386 0.856 0.374
0.142 0.975 0.789
0.591 0.427 0.292
0.858 0.025 0.211
0.909 0.708 0.573
0.114 0.626 0.144
0.091 0.292 0.427
0.886 0.374 0.856
0.409 0.573 0.708
0.358 0.211 0.025
0.642 0.789 0.975
0.614 0.144 0.626
0.750 0.729 0.271
0.250 0.271 0.729